[1]
## ScAsPdAu (GGA-PBE)

Data for a relaxed ScAsPdAu crystal.

Structure (POSCAR):
```
ScAsPdAu
1.0
6.571 0.000 0.000
0.000 6.571 0.000
0.000 0.000 6.571
Sc As Pd Au
4 4 4 4
direct
0.000 0.000 0.000
0.000 0.500 0.500
0.500 0.000 0.500
0.500 0.500 0.000
0.250 0.250 0.250
0.250 0.750 0.750
0.750 0.250 0.750
0.750 0.750 0.250
0.000 0.000 0.500
0.000 0.500 0.000
0.500 0.000 0.000
0.500 0.500 0.500
0.250 0.250 0.750
0.250 0.750 0.250
0.750 0.250 0.250
0.750 0.750 0.750
```

Computed properties:
- Electronic total energy: -5.485 eV/atom
- Magnetization: 0.0 Bohr magnetons per cell
- Calculated formation energy: -0.622 eV/atom

***

[2]
## AsPdAuSe2 (GGA-PBE)

Data for a relaxed AsPdAuSe2 crystal.

Structure (POSCAR):
```
AsPdAuSe2
1.0
5.044 0.000 0.000
0.000 5.044 0.000
0.000 0.000 4.706
As Pd Au Se
1 1 1 2
direct
0.000 0.000 0.000
0.000 0.000 0.500
0.500 0.500 0.000
0.000 0.500 0.500
0.500 0.000 0.500
```

Computed properties:
- Energy relative to the elements, uncorrected: 627 meV per atom
- Electronic total energy: -3.391 eV/atom
- Magnetization: 0.0 Bohr magnetons per cell
- ΔE to the lowest computed polymorph: 0.000 eV per formula unit